# 1
Here is a relaxed Zr2GeHIr crystal from the Alexandria database. Energies are from PBE.

Values from the calculation:
crystal system = tetragonal
total magnetic moment = 0.000 μB/cell
calculated total energy = -36.55 eV per cell
space group = P4/mmm

Lattice parameters (Å, degrees): 4.381 4.381 3.935 90.00 90.00 90.00
Sites, in units of the cell vectors:
Ge  0.500  0.500  0.500
Zr  0.000  0.500  0.000
Zr  0.500  0.000  0.000
H  0.000  0.000  0.000
Ir  0.000  0.000  0.500

=====

# 2
Here is a relaxed KGeH6 crystal from the Alexandria database. Energies are from PBE.

Values from the calculation:
crystal system = monoclinic
total magnetic moment = 0.000 μB/cell
calculated total energy = -23.74 eV per cell
space group = C2/m

Lattice parameters (Å, degrees): 4.276 4.276 5.173 74.33 74.33 75.17
Sites, in units of the cell vectors:
H  0.837  0.837  0.814
H  0.077  0.617  0.194
H  0.617  0.077  0.194
H  0.383  0.923  0.806
H  0.923  0.383  0.806
H  0.163  0.163  0.186
K  0.500  0.500  0.500
Ge  0.000  0.000  0.000

=====

# 3
Here is a relaxed KGeH4 crystal from the Alexandria database. Energies are from PBE.

Values from the calculation:
crystal system = tetragonal
total magnetic moment = 0.000 μB/cell
calculated total energy = -36.52 eV per cell
space group = I4_1/amd

Lattice parameters (Å, degrees): 5.204 5.204 7.389 110.62 110.62 90.00
Sites, in units of the cell vectors:
K  0.000  0.000  0.000
K  0.750  0.250  0.500
Ge  0.250  0.750  0.500
Ge  0.500  0.500  0.000
H  0.552  0.266  0.104
H  0.198  0.984  0.396
H  0.016  0.802  0.604
H  0.162  0.448  0.896
H  0.198  0.412  0.396
H  0.734  0.448  0.896
H  0.552  0.838  0.104
H  0.588  0.802  0.604

=====

# 4
Here is a relaxed K2GeH3 crystal from the Alexandria database. Energies are from PBE.

Values from the calculation:
crystal system = triclinic
total magnetic moment = 0.000 μB/cell
calculated total energy = -34.98 eV per cell
space group = P-1

Lattice parameters (Å, degrees): 9.108 5.268 10.223 104.56 126.28 107.41
Sites, in units of the cell vectors:
H  0.293  0.481  0.664
H  0.235  0.310  0.829
H  0.764  0.248  0.169
H  0.236  0.752  0.831
H  0.707  0.519  0.336
H  0.765  0.690  0.171
K  0.487  0.142  0.793
K  0.876  0.786  0.710
K  0.513  0.858  0.207
K  0.124  0.214  0.290
Ge  0.896  0.617  0.336
Ge  0.104  0.383  0.664